1.
Y3CoCN: optimized geometry, PBE.

a b c (Å): 3.5012 3.5012 19.4775
angles (deg): 90.00 90.00 120.00
Atoms (fractional coordinates):
Y (0.0000, 0.0000, 0.5000)
Co (0.0000, 0.0000, 0.2551)
C (0.3333, 0.6667, 0.0800)
Y (0.3333, 0.6667, 0.6443)
Y (0.6667, 0.3333, 0.1479)
Y (0.6667, 0.3333, 0.3557)
Y (0.0000, 0.0000, 0.0000)
N (0.3333, 0.6667, 0.4270)
N (0.6667, 0.3333, 0.5730)
Co (0.0000, 0.0000, 0.7449)
Y (0.3333, 0.6667, 0.8521)
C (0.6667, 0.3333, 0.9200)

Summary:
The calculation puts the raw total energy at -7.825 eV per atom. As for the space group: P-3m1. For the volume, the calculation gives 17.23 Å³/atom.

***

2.
Y4Co2CN: optimized geometry, PBE.

a b c (Å): 3.5134 3.5134 13.4534
angles (deg): 90.00 90.00 120.00
Atoms (fractional coordinates):
Y (0.3333, 0.6667, 0.1021)
Y (0.6667, 0.3333, 0.8979)
N (0.0000, 0.0000, 0.5000)
C (0.0000, 0.0000, 0.0000)
Co (0.3333, 0.6667, 0.7464)
Y (0.6667, 0.3333, 0.6032)
Co (0.6667, 0.3333, 0.2536)
Y (0.3333, 0.6667, 0.3968)

Summary:
The calculation puts the raw total energy at -7.492 eV per atom. As for the space group: P-3m1. For the volume, the calculation gives 17.98 Å³/atom.

***

Question: The highest raw total energy belongs to which entry?
Answer: Y4Co2CN

***

Question: Which value of raw total energy does entry 2 give?
Answer: -7.492 eV per atom